No. 1
Crystalline NiTe4Br at its relaxed geometry, computed with PBE.

Cell: 6.271 6.271 6.271 Å, 60.00 60.00 60.00°
Each line ends with the local moment (μB).
Element x y z (fractional)
Ni (0.000, 0.000, 0.000)  0.80
Te (0.875, 0.375, 0.375)  0.02
Te (0.375, 0.375, 0.875)  0.02
Te (0.375, 0.875, 0.375)  0.02
Te (0.375, 0.375, 0.375)  0.02
Br (0.750, 0.750, 0.750)  0.00

Results
**Total magnetic moment**: 0.967 μB per cell
**DOS(E_F)**: 2.38 states/eV per atom
**Uncorrected formation energy**: 4.1 eV per formula unit
**Theoretical density**: 6.2 Mg/m³

---

No. 2
Crystalline NiTeBr at its relaxed geometry, computed with PBE.

Cell: 4.628 4.628 4.628 Å, 60.00 60.00 60.00°
Each line ends with the local moment (μB).
Element x y z (fractional)
Br (0.500, 0.500, 0.500)  0.16
Ni (0.750, 0.750, 0.750)  0.79
Te (0.000, 0.000, 0.000)  0.25

Results
**Total magnetic moment**: 1.394 μB per cell
**DOS(E_F)**: 0.91 states/eV per atom
**Uncorrected formation energy**: 1.1 eV per formula unit
**Theoretical density**: 6.3 Mg/m³